Entry 1:
Material: FePdAu2
Method: DFT, PBE
State: optimized geometry

The structure belongs to space group I-42d (No. 122); the cell edges are 7.268, 7.268 and 5.364 Å and the angles 90.00°, 90.00° and 90.00°. The distinct sites, in fractional coordinates, are Fe at (0.000, 0.000, 0.000), Pd at (0.000, 0.000, 0.500) and Au at (0.232, 0.250, 0.125).

The volume comes out at 283.31 Å³/cell. The energy is -4.742 eV per atom. As for the formation energy: 1.24 eV/f.u. The calculation puts the spin magnetization at 14.90 Bohr magnetons per cell. The value obtained for the mass density is 13.0 g/cm³.

***

Entry 2:
Material: ErLuPdRh
Method: DFT, PBE
State: optimized geometry

The structure belongs to space group F-43m (No. 216); the cell edges are 6.828, 6.828 and 6.828 Å and the angles 90.00°, 90.00° and 90.00°. The distinct sites, in fractional coordinates, are Er at (0.000, 0.000, 0.000), Lu at (0.000, 0.000, 0.500), Pd at (0.250, 0.250, 0.750) and Rh at (0.250, 0.250, 0.250).

The volume comes out at 318.26 Å³/cell. The energy is -6.365 eV per atom. As for the formation energy: -3.83 eV/f.u. The calculation puts the spin magnetization at 0.00 Bohr magnetons per cell. The value obtained for the mass density is 11.5 g/cm³.